P | DFT (PBE) results for a relaxed Dy7YEr4 crystal.

The structure belongs to space group C2/m (No. 12); the cell edges are 11.977, 5.839 and 12.610 Å and the angles 90.00°, 118.23° and 90.00°. The inequivalent atoms are Dy at (0.000, 0.000, 0.000), Dy at (0.059, 0.500, 0.325), Dy at (0.134, 0.000, 0.502), Dy at (0.213, 0.500, 0.923), Y at (0.000, 0.500, 0.000), Er at (0.135, 0.000, 0.775) and Er at (0.250, 0.000, 0.316).

As for the calculated density: 8.10 g cm⁻³. The calculation puts the total magnetization at 0.01 μB per atom. The crystal system is monoclinic.

---

Q | DFT (PBE) results for a relaxed Dy7YEr4 crystal.

The structure belongs to space group P-1 (No. 2); the cell edges are 6.459, 6.781 and 8.979 Å and the angles 86.17°, 76.68° and 82.03°. The inequivalent atoms are Dy at (0.000, 0.000, 0.000), Dy at (0.192, 0.603, 0.387), Dy at (0.315, 0.204, 0.642), Dy at (0.485, 0.751, 0.051), Y at (0.000, 0.500, 0.000), Er at (0.161, 0.112, 0.314) and Er at (0.359, 0.697, 0.714).

As for the calculated density: 8.31 g cm⁻³. The calculation puts the total magnetization at 0.00 μB per atom. The crystal system is triclinic.

---

Stability verdict: Q, ahead by 19.7 kJ/mol of atoms

---

P | DFT (PBE) results for a relaxed Dy9Y2Er crystal.

The structure belongs to space group P6/mmm (No. 191); the cell edges are 11.2126, 11.2126 and 3.4788 Å and the angles 90.00°, 90.00° and 120.00°. The inequivalent atoms are Dy at (0.0000, 0.5000, 0.0000), Dy at (0.1750, 0.3499, 0.5000), Y at (0.3333, 0.6667, 0.0000) and Er at (0.0000, 0.0000, 0.0000).

As for the calculated density: 7.92 g cm⁻³. The calculation puts the total magnetization at 0.00 μB per atom. The crystal system is hexagonal.

---

Q | DFT (PBE) results for a relaxed Dy9Y2Er crystal.

The structure belongs to space group P4/mmm (No. 123); the cell edges are 5.015, 5.015 and 15.045 Å and the angles 90.00°, 90.00° and 90.00°. The inequivalent atoms are Dy at (0.000, 0.000, 0.000), Dy at (0.000, 0.000, 0.333), Dy at (0.000, 0.500, 0.165), Dy at (0.000, 0.500, 0.500), Y at (0.500, 0.500, 0.333) and Er at (0.500, 0.500, 0.000).

As for the calculated density: 7.93 g cm⁻³. The calculation puts the total magnetization at 0.00 μB per atom. The crystal system is tetragonal.

---

Stability verdict: Q, ahead by 3.7 kJ/mol of atoms